No. 1
Density functional theory data (GGA-PBE) for a relaxed structure of FeNi2As.

DFT total energy: -6.036 eV/atom

a = 2.7501 Å, b = 2.7501 Å, c = 23.2273 Å
α = 90.00°, β = 90.00°, γ = 120.00°
Closest atoms and distances in Å follow each position.
Space group R-3m (No. 166, hexagonal axes)
Asymmetric unit:
Fe  0.0000  0.0000  0.0000 (multiplicity 3)  6 Ni 2.53, 6 Fe 2.75
Ni  0.0000  0.0000  0.2485 (multiplicity 6)  3 As 2.48, 3 Fe 2.53, 6 Ni 2.75
As  0.0000  0.0000  0.5000 (multiplicity 3)  6 Ni 2.48, 6 As 2.75

No. 2
Density functional theory data (GGA-PBE) for a relaxed structure of Pd6Se3S.

formation energy (no corrections): -15.1 kJ/mol of atoms

a = 10.1867 Å, b = 12.7419 Å, c = 5.6024 Å
α = 90.00°, β = 90.00°, γ = 90.00°
Closest atoms and distances in Å follow each position.
Space group Cmc2_1 (No. 36)
Asymmetric unit:
Pd  0.0000  0.0000  0.0000 (multiplicity 4)  1 S 2.31, 2 Se 2.48
Pd  0.0000  0.2190  0.4218 (multiplicity 4)  1 S 2.38, 1 Se 2.53
Pd  0.1475  0.4278  0.6884 (multiplicity 8)  4 Se 2.48-2.73
Pd  0.2237  0.2241  0.8949 (multiplicity 8)  1 S 2.42, 2 Se 2.52-2.55
Se  0.0000  0.4139  0.3377 (multiplicity 4)  5 Pd 2.48-2.65
Se  0.2092  0.0971  0.5448 (multiplicity 8)  6 Pd 2.48-2.73
S  0.0000  0.1814  0.0062 (multiplicity 4)  4 Pd 2.31-2.42

no.,total magnetization (μB/atom),D(E_F) (states/eV per cell)
1,0.861,12.23
2,0.000,24.71